A PBEsol-optimized structure of HfTiF6, computed with meta-GGA SCAN.

```
8
Lattice="-2.3193 2.5181 -4.6033 -5.6471 -0.3788 -0.9366 -3.3297 4.6283 0.6348" Properties=species:S:1:pos:R:3 pbc="T T T"
F -6.7914 2.7700 -3.9752
F -5.6485 5.2395 -3.2002
F -5.6476 1.5281 -1.7049
F -4.5046 3.9975 -0.9299
F -4.0063 2.9569 -3.5133
F -7.2897 3.8107 -1.3919
Hf -5.6480 3.3838 -2.4526
Ti 0.0000 0.0000 0.0000
```

Calculated values
Energy   -129.14 eV/cell
Uncorrected formation energy   -3.6492 eV per atom

=====

A PBEsol-optimized structure of Al2ZnIn, computed with meta-GGA SCAN.

```
4
Lattice="-0.1994 0.9587 2.7574 3.1879 -2.1312 0.9714 3.7069 4.8918 -1.4327" Properties=species:S:1:pos:R:3 pbc="T T T"
Zn 4.3928 3.2387 0.7442
Al 3.6807 4.8572 -1.4226
Al 2.3014 0.4788 1.5525
In 1.8810 2.4822 -0.7270
```

Calculated values
Energy   -61.92 eV/cell
ΔH_f (0 K)   12 kJ/mol of atoms

=====

A PBEsol-optimized structure of KBaTc, computed with meta-GGA SCAN.

```
3
Lattice="-2.2054 1.9318 1.8018 0.9343 -1.6251 2.8859 6.8437 5.7224 -1.0449" Properties=species:S:1:pos:R:3 pbc="T T T"
Ba 5.0640 5.5477 3.5364
K 1.8490 2.5048 2.8637
Tc 4.2323 4.0057 0.8856
```

Calculated values
Energy above the most stable polymorph in this dataset   0.000 eV/atom
Energy   -79.41 eV/cell
ΔH_f (0 K)   113 kJ/mol of atoms

=====

A PBEsol-optimized structure of Ba3Ta4TiO15, computed with meta-GGA SCAN.

```
46
Lattice="-3.7185 -0.7978 -1.0772 4.2575 -7.6335 -9.0435 -0.2550 -9.6678 8.0405" Properties=species:S:1:pos:R:3 pbc="T T T"
Ba 2.7786 -6.6259 -4.6846
Ba 1.2239 -10.6755 3.6816
Ba 0.6052 -4.5036 1.2464
Ba 3.3973 -12.7978 -2.2494
Ba 2.0012 -8.6507 -0.5015
Ba 0.0000 0.0000 0.0000
Ta 0.4062 -11.7084 0.0172
Ta -0.1222 -6.3908 -2.0973
Ta -1.7400 -8.5526 5.0886
Ta 2.0240 -9.5466 -7.1688
Ta -0.7959 -8.1270 1.5145
Ta 1.0800 -9.9722 -3.5947
Ta -0.9595 -2.7712 -1.8875
Ta 1.2435 -15.3280 -0.1927
Ti 0.2695 -4.2157 -5.0603
Ti -1.9867 -5.2328 3.4817
O 1.6073 -11.7330 -4.1110
O -1.3233 -6.3661 2.0308
O -0.6461 -12.6429 4.3417
O 0.9301 -5.4563 -6.4219
O 0.0305 -12.3379 1.7801
O 0.2535 -5.7613 -3.8603
O -1.9235 -3.7719 2.1812
O 2.2075 -14.3273 -4.2614
O 1.3918 -9.0668 -5.3416
O -1.1077 -9.0324 3.2614
O -0.7215 -4.6624 -1.3085
O 1.0055 -13.4367 -0.7717
O 2.2873 -11.2501 0.4362
O 1.7152 -6.0513 -1.4392
O 0.1362 -8.2827 5.6643
O 3.8663 -9.0187 -6.6673
O 1.1036 -7.8465 2.0016
O 2.8989 -9.4549 -3.0046
O 0.8571 -2.3420 -1.2241
O 3.1454 -14.9594 0.2211
O 0.7262 -10.7720 -1.7811
O -0.4422 -7.3272 -0.2991
O -1.4961 -10.5001 5.6889
O 1.7801 -7.5990 -7.7691
O -0.1778 -9.9058 0.6982
O 0.4618 -8.1933 -2.7783
O -1.6114 -2.2729 -0.0061
O 1.8954 -15.8262 -2.0741
O 2.1287 -3.8168 -4.5217
O -0.1275 -4.8339 4.0202
```

Calculated values
Energy above the most stable polymorph in this dataset   0.003 eV/atom
Energy   -1139.02 eV/cell
Uncorrected formation energy   -3.2621 eV per atom

=====

What is the formula in the fourth record?
Ba3Ta4TiO15

=====

What is the energy in the third record?
-79.41 eV/cell

=====

The highest energy belongs to which entry?
Al2ZnIn